# 1
A plane-wave DFT calculation with PBE was carried out for crystalline Ge3OsAu at its relaxed geometry.

Values from the calculation:
As for the crystal system: cubic. The electronic total energy comes out at -5.31 eV/atom. For the polymorph energy (0 for the lowest one), the calculation gives 0.000 eV/atom.

abc: 4.7919 4.7919 4.7919
angles: 90.00 90.00 90.00
Positions (direct):
Os  0.0000  0.0000  0.0000
Ge  0.0000  0.0000  0.5000
Ge  0.0000  0.5000  0.0000
Ge  0.5000  0.0000  0.0000
Au  0.5000  0.5000  0.5000

# 2
A plane-wave DFT calculation with PBE was carried out for crystalline LaPm7Pr12 at its relaxed geometry.

Values from the calculation:
As for the crystal system: trigonal. The electronic total energy comes out at -4.58 eV/atom. For the polymorph energy (0 for the lowest one), the calculation gives 0.000 eV/atom.

abc: 10.4377 10.4377 10.4377
angles: 113.17 113.17 113.17
Positions (direct):
Pm  0.1573  0.4826  0.1574
Pm  0.5174  0.8426  0.8427
Pm  0.4826  0.1574  0.1573
Pm  0.8427  0.5174  0.8426
Pm  0.5000  0.5000  0.5000
Pm  0.8426  0.8427  0.5174
Pm  0.1574  0.1573  0.4826
Pr  0.5803  0.5803  0.9227
Pr  0.2860  0.7146  0.0005
Pr  0.0773  0.4197  0.4197
Pr  0.5803  0.9227  0.5803
Pr  0.2854  0.9995  0.7140
Pr  0.7140  0.2854  0.9995
Pr  0.4197  0.4197  0.0773
Pr  0.0005  0.2860  0.7146
Pr  0.4197  0.0773  0.4197
Pr  0.9995  0.7140  0.2854
Pr  0.7146  0.0005  0.2860
Pr  0.9227  0.5803  0.5803
La  0.0000  0.0000  0.0000

# 3
A plane-wave DFT calculation with PBE was carried out for crystalline Be2POs at its relaxed geometry.

Values from the calculation:
As for the crystal system: orthorhombic. The electronic total energy comes out at -6.04 eV/atom.

abc: 4.4263 4.4263 4.4263
angles: 138.60 129.99 66.87
Positions (direct):
Os  0.2500  0.7500  0.5000
Be  0.9903  0.9903  0.0000
Be  0.5097  0.5097  0.0000
P  0.7500  0.2500  0.5000

# 4
A plane-wave DFT calculation with PBE was carried out for crystalline SrMo2Pb at its relaxed geometry.

Values from the calculation:
As for the crystal system: trigonal. The electronic total energy comes out at -5.58 eV/atom.

abc: 10.2802 10.2802 10.2802
angles: 17.79 17.79 17.79
Positions (direct):
Sr  0.7500  0.7500  0.7500
Mo  0.5075  0.5075  0.5075
Mo  0.9925  0.9925  0.9925
Pb  0.2500  0.2500  0.2500

# 5
A plane-wave DFT calculation with PBE was carried out for crystalline CuRe2Si at its relaxed geometry.

Values from the calculation:
As for the crystal system: orthorhombic. The electronic total energy comes out at -8.54 eV/atom. The value obtained for the uncorrected formation energy is 0.068 eV per atom.

abc: 4.9691 4.9691 4.2144
angles: 64.91 64.91 35.11
Positions (direct):
Re  0.7659  0.7659  0.7338
Re  0.0003  0.0003  0.0001
Cu  0.2299  0.2299  0.2699
Si  0.5040  0.5040  0.4962